Entry 1:
A plane-wave DFT calculation with PBE was carried out for a relaxed AlSiAg crystal.

The space group is Cmcm (No. 63) and the conventional cell measures 2.851, 19.040 and 4.046 Å, with angles of 90.00, 90.00 and 90.00 degrees. Symmetry generates all atoms from Al at (0.000, 0.144, 0.250), Si at (0.000, 0.467, 0.750) and Ag at (0.000, 0.297, 0.250).

The calculation puts the theoretical density at 4.93 Mg/m³. The energy relative to the elements, uncorrected is 87.7 meV/atom. The value obtained for the density of states at the Fermi level is 0.810 states/eV/f.u. As for the total magnetic moment: 0.00 Bohr magnetons per cell.

Entry 2:
A plane-wave DFT calculation with PBE was carried out for a relaxed AlSiAg2 crystal.

The space group is C2/m (No. 12) and the conventional cell measures 8.867, 3.060 and 5.036 Å, with angles of 90.00, 99.78 and 90.00 degrees. Symmetry generates all atoms from Al at (0.000, 0.000, 0.000), Si at (0.000, 0.500, 0.500) and Ag at (0.249, 0.500, 0.249).

The calculation puts the theoretical density at 6.68 Mg/m³. The energy relative to the elements, uncorrected is 146.9 meV/atom. The value obtained for the density of states at the Fermi level is 1.459 states/eV/f.u. As for the total magnetic moment: 0.00 Bohr magnetons per cell.

Entry 3:
A plane-wave DFT calculation with PBE was carried out for a relaxed AlSiAg2 crystal.

The space group is Cmmm (No. 65) and the conventional cell measures 2.857, 5.021 and 9.570 Å, with angles of 90.00, 90.00 and 90.00 degrees. Symmetry generates all atoms from Al at (0.000, 0.000, 0.000), Si at (0.000, 0.000, 0.500) and Ag at (0.000, 0.500, 0.246).

The calculation puts the theoretical density at 6.55 Mg/m³. The energy relative to the elements, uncorrected is 221.2 meV/atom. The value obtained for the density of states at the Fermi level is 1.295 states/eV/f.u. As for the total magnetic moment: 0.00 Bohr magnetons per cell.

Entry 4:
A plane-wave DFT calculation with PBE was carried out for a relaxed AlSiAg crystal.

The space group is P1 (No. 1) and the conventional cell measures 4.223, 4.986 and 5.827 Å, with angles of 78.01, 70.81 and 67.97 degrees. Symmetry generates all atoms from Al at (0.000, 0.000, 0.000), Al at (0.096, 0.649, 0.496), Si at (0.352, 0.094, 0.250), Si at (0.485, 0.048, 0.625), Ag at (0.517, 0.476, 0.800) and Ag at (0.797, 0.533, 0.184).

The calculation puts the theoretical density at 5.06 Mg/m³. The energy relative to the elements, uncorrected is 187.1 meV/atom. The value obtained for the density of states at the Fermi level is 0.712 states/eV/f.u. As for the total magnetic moment: 0.00 Bohr magnetons per cell.